Record 1
This record from the Alexandria database describes a relaxed structure of CePrGeH. The functional is PBE-GGA.

Density of states at the Fermi level, states/eV/cell: 3.58
Space-group type: No. 129
Total magnetic moment, μB per atom: 0.000
E_tot, eV per atom: -5.34

The structure in CIF format:
```
data_CePrGeH
_space_group_name_H-M_alt 'P 1'
_space_group_IT_number 1
_cell_length_a 4.220
_cell_length_b 4.220
_cell_length_c 9.150
_cell_angle_alpha 90.00
_cell_angle_beta 90.00
_cell_angle_gamma 90.00
loop_
_space_group_symop_operation_xyz
'x,y,z'
loop_
_atom_site_label
_atom_site_type_symbol
_atom_site_fract_x
_atom_site_fract_y
_atom_site_fract_z
_atom_site_occupancy
Ce1 Ce 0.250 0.750 0.000 1
Ce2 Ce 0.750 0.250 0.000 1
Pr1 Pr 0.250 0.250 0.371 1
Pr2 Pr 0.750 0.750 0.629 1
Ge1 Ge 0.250 0.250 0.758 1
Ge2 Ge 0.750 0.750 0.242 1
H1 H 0.250 0.750 0.500 1
H2 H 0.750 0.250 0.500 1
```

=====

Record 2
This record from the Alexandria database describes a relaxed structure of CeGeHPt. The functional is PBE-GGA.

Density of states at the Fermi level, states/eV/cell: 2.69
Space-group type: No. 187
Total magnetic moment, μB per atom: 0.064
E_tot, eV per atom: -5.85

The structure in CIF format:
```
data_CeGeHPt
_space_group_name_H-M_alt 'P 1'
_space_group_IT_number 1
_cell_length_a 4.436
_cell_length_b 4.436
_cell_length_c 3.809
_cell_angle_alpha 90.00
_cell_angle_beta 90.00
_cell_angle_gamma 120.00
loop_
_space_group_symop_operation_xyz
'x,y,z'
loop_
_atom_site_label
_atom_site_type_symbol
_atom_site_fract_x
_atom_site_fract_y
_atom_site_fract_z
_atom_site_occupancy
Ce1 Ce 0.000 0.000 0.000 1
Ge1 Ge 0.333 0.667 0.500 1
H1 H 0.667 0.333 0.000 1
Pt1 Pt 0.667 0.333 0.500 1
```

=====

Record 3
This record from the Alexandria database describes a relaxed structure of Ce2GeHPt6. The functional is PBE-GGA.

Density of states at the Fermi level, states/eV/cell: 11.78
Space-group type: No. 166
Total magnetic moment, μB per atom: 0.127
E_tot, eV per atom: -6.37

The structure in CIF format:
```
data_Ce2GeHPt6
_space_group_name_H-M_alt 'P 1'
_space_group_IT_number 1
_cell_length_a 6.989
_cell_length_b 6.989
_cell_length_c 6.989
_cell_angle_alpha 48.18
_cell_angle_beta 48.18
_cell_angle_gamma 48.18
loop_
_space_group_symop_operation_xyz
'x,y,z'
loop_
_atom_site_label
_atom_site_type_symbol
_atom_site_fract_x
_atom_site_fract_y
_atom_site_fract_z
_atom_site_occupancy
Ce1 Ce 0.221 0.221 0.221 1
Ce2 Ce 0.779 0.779 0.779 1
Ge1 Ge 0.500 0.500 0.500 1
H1 H 0.000 0.000 0.000 1
Pt1 Pt 0.230 0.230 0.730 1
Pt2 Pt 0.230 0.730 0.230 1
Pt3 Pt 0.270 0.770 0.770 1
Pt4 Pt 0.730 0.230 0.230 1
Pt5 Pt 0.770 0.270 0.770 1
Pt6 Pt 0.770 0.770 0.270 1
```

=====

Record 4
This record from the Alexandria database describes a relaxed structure of Ce4Pu2Ge3H2. The functional is PBE-GGA.

Density of states at the Fermi level, states/eV/cell: 30.29
Space-group type: No. 139
Total magnetic moment, μB per atom: 1.232
E_tot, eV per atom: -7.01

The structure in CIF format:
```
data_Ce4Pu2Ge3H2
_space_group_name_H-M_alt 'P 1'
_space_group_IT_number 1
_cell_length_a 12.544
_cell_length_b 12.544
_cell_length_c 12.544
_cell_angle_alpha 159.61
_cell_angle_beta 159.61
_cell_angle_gamma 28.99
loop_
_space_group_symop_operation_xyz
'x,y,z'
loop_
_atom_site_label
_atom_site_type_symbol
_atom_site_fract_x
_atom_site_fract_y
_atom_site_fract_z
_atom_site_occupancy
Ce1 Ce 0.085 0.585 0.500 1
Ce2 Ce 0.415 0.915 0.500 1
Ce3 Ce 0.585 0.085 0.500 1
Ce4 Ce 0.915 0.415 0.500 1
Pu1 Pu 0.203 0.203 0.000 1
Pu2 Pu 0.797 0.797 0.000 1
Ge1 Ge 0.000 0.000 0.000 1
Ge2 Ge 0.325 0.325 0.000 1
Ge3 Ge 0.675 0.675 0.000 1
H1 H 0.445 0.445 0.000 1
H2 H 0.555 0.555 0.000 1
```